# KVO2

An optimized crystal structure of KVO2 (GGA+U, Alexandria via LeMat-Bulk).

```
KVO2
1.0
1.438 -0.923 3.662
-1.277 2.041 3.246
-2.390 -1.807 2.712
K O V
1 2 1
Direct
0.000 0.000 0.000
0.250 0.250 0.250
0.750 0.750 0.750
0.500 0.500 0.500
```

Properties
VASP energy = -5.416 eV per atom
Total magnetization = 2.00 μB/f.u.